Record 1
# HfAl2W2

An optimized crystal structure of HfAl2W2 (PBE-GGA, the Alexandria database).

Properties
Energy of formation from the pure elements (eV per formula unit): -0.36
Volume (A^3/atom): 16.51
Excess energy over the best structure of this formula in the dataset (meV per atom): 0

a b c (Å): 6.9666 6.9666 3.4022
angles (deg): 90.00 90.00 90.00
Closest atoms and distances in Å follow each position.
Fractional positions:
Hf1 0.0000 0.0000 0.0000  4 Al 2.75
Hf2 0.5000 0.5000 0.0000  4 Al 2.75
Al1 0.1253 0.3747 0.0000  1 Al 2.47, 6 W 2.62-2.70, 2 Hf 2.75
Al2 0.3747 0.8747 0.0000  1 Al 2.47, 6 W 2.62-2.70, 2 Hf 2.75
Al3 0.6253 0.1253 0.0000  1 Al 2.47, 6 W 2.62-2.70, 2 Hf 2.75
Al4 0.8747 0.6253 0.0000  1 Al 2.47, 6 W 2.62-2.70, 2 Hf 2.75
W1 0.1721 0.6721 0.5000  6 Al 2.62-2.70
W2 0.3279 0.1721 0.5000  6 Al 2.62-2.70
W3 0.6721 0.8279 0.5000  6 Al 2.62-2.70
W4 0.8279 0.3279 0.5000  6 Al 2.62-2.70

---

Record 2
# SrCa3Rh

An optimized crystal structure of SrCa3Rh (PBE-GGA, the Alexandria database).

Properties
Energy of formation from the pure elements (eV per formula unit): -1.01
Volume (A^3/atom): 37.41
Excess energy over the best structure of this formula in the dataset (meV per atom): 25

a b c (Å): 7.1057 8.0328 8.0399
angles (deg): 119.45 90.23 107.72
Closest atoms and distances in Å follow each position.
Fractional positions:
Sr1 0.0094 0.2573 0.0139  1 Rh 2.86
Sr2 0.9906 0.7427 0.9861  1 Rh 2.86
Ca1 0.0020 0.2334 0.5016  2 Rh 2.81-2.85
Ca2 0.4922 0.7500 0.7439  1 Rh 2.72
Ca3 0.4944 0.2297 0.7336  2 Rh 2.82-2.84
Ca4 0.5056 0.7703 0.2664  2 Rh 2.82-2.84
Ca5 0.5078 0.2500 0.2561  1 Rh 2.72
Ca6 0.9980 0.7666 0.4984  2 Rh 2.81-2.85
Rh1 0.2509 0.0005 0.3576  5 Ca 2.72-2.85, 1 Sr 2.86
Rh2 0.7491 0.9995 0.6424  5 Ca 2.72-2.85, 1 Sr 2.86

---

Record 3
# PaCu2Se6

An optimized crystal structure of PaCu2Se6 (PBE-GGA, the Alexandria database).

Properties
Volume (A^3/atom): 24.29
E_form (uncorrected) (eV per formula unit): -4.0

a b c (Å): 6.3890 6.3890 8.8400
angles (deg): 120.81 120.81 46.90
Closest atoms and distances in Å follow each position.
Fractional positions:
Pa1 0.0000 0.0000 0.0000  8 Se 2.84-3.00
Cu1 0.3810 0.3810 0.6053  5 Se 2.41-2.58
Cu2 0.6190 0.6190 0.3947  5 Se 2.41-2.58
Se1 0.1229 0.1229 0.3889  3 Cu 2.52-2.54, 1 Se 2.71
Se2 0.2881 0.2881 0.2637  1 Cu 2.58, 2 Se 2.67-2.71, 1 Pa 2.84
Se3 0.4148 0.4148 0.0898  1 Cu 2.41, 1 Se 2.67
Se4 0.5852 0.5852 0.9102  1 Cu 2.41, 1 Se 2.67
Se5 0.7119 0.7119 0.7363  1 Cu 2.58, 2 Se 2.67-2.71, 1 Pa 2.84
Se6 0.8771 0.8771 0.6111  3 Cu 2.52-2.54, 1 Se 2.71

---

Record 4
# Sm4Ho3Pd4

An optimized crystal structure of Sm4Ho3Pd4 (PBE-GGA, the Alexandria database).

Properties
Energy of formation from the pure elements (eV per formula unit): -5.98
Volume (A^3/atom): 26.11

a b c (Å): 9.4173 9.4173 9.4173
angles (deg): 156.46 119.83 65.53
Closest atoms and distances in Å follow each position.
Fractional positions:
Sm1 0.0267 0.8407 0.1859  3 Pd 2.92-2.95
Sm2 0.3452 0.1593 0.1859  3 Pd 2.92-2.95
Sm3 0.6548 0.8407 0.8141  3 Pd 2.92-2.95
Sm4 0.9733 0.1593 0.8141  3 Pd 2.92-2.95
Ho1 0.0000 0.5000 0.5000  8 Sm 3.62, 6 Pd 3.76-3.90, 2 Ho 3.84
Ho2 0.3908 0.3908 0.0000  6 Pd 2.98
Ho3 0.6092 0.6092 0.0000  6 Pd 2.98
Pd1 0.2465 0.7465 0.5000  4 Sm 2.95, 2 Ho 2.98
Pd2 0.3428 0.0000 0.3428  2 Sm 2.92, 1 Pd 2.97, 4 Ho 2.98
Pd3 0.6572 0.0000 0.6572  2 Sm 2.92, 1 Pd 2.97, 4 Ho 2.98
Pd4 0.7535 0.2535 0.5000  4 Sm 2.95, 2 Ho 2.98